[1]
A plane-wave DFT calculation with PBE was carried out for crystalline Y2BiC at its relaxed geometry.

a b c (Å): 5.086 5.086 5.086
angles (deg): 60.00 60.00 60.00
Atoms (fractional coordinates):
Y1 0.250 0.250 0.250
Y2 0.750 0.750 0.750
Bi1 0.000 0.000 0.000
C1 0.500 0.500 0.500

**DFT formation energy**: 489 meV/atom
**ρ**: 7.119 g/cm³
**Space-group type**: Fm-3m

[2]
A plane-wave DFT calculation with PBE was carried out for crystalline GaBRu2 at its relaxed geometry.

a b c (Å): 2.779 2.779 6.213
angles (deg): 90.00 90.00 90.00
Atoms (fractional coordinates):
Ga1 0.000 0.000 0.000
B1 0.000 0.000 0.500
Ru1 0.500 0.500 0.294
Ru2 0.500 0.500 0.706

**E above lowest polymorph**: 253 meV/atom
**DFT formation energy**: -68 meV/atom
**ρ**: 9.783 g/cm³
**Space-group type**: P4/mmm

[3]
A plane-wave DFT calculation with PBE was carried out for crystalline TbLu2Th at its relaxed geometry.

a b c (Å): 11.529 11.529 11.529
angles (deg): 17.63 17.63 17.63
Atoms (fractional coordinates):
Tb1 0.000 0.000 0.000
Lu1 0.249 0.249 0.249
Lu2 0.751 0.751 0.751
Th1 0.500 0.500 0.500

**E above lowest polymorph**: 6 meV/atom
**DFT formation energy**: 27 meV/atom
**ρ**: 10.031 g/cm³
**Space-group type**: R-3m